Entry from Alexandria: BaZnRh2 after structural relaxation (PBE).

Cell and atoms, written as POSCAR:
```
BaZnRh2
1.0
4.844 0.000 0.000
0.000 4.391 0.000
-0.994 0.000 4.954
Ba Zn Rh
1 1 2
Direct
0.000 0.000 0.000
0.669 0.500 0.429
0.186 0.500 0.533
0.418 0.000 0.551
```

The energy relative to the elements comes out at -4 meV per atom. For the energy, the calculation gives -4.48 eV/atom. As for the space group: Pm.